Entry 1:
A plane-wave DFT calculation with SCAN was carried out for KTaFe2Pb at its PBEsol-relaxed geometry.

abc: 4.2765 4.2765 5.4126
angles: 90.00 90.00 90.00
Space group P4/mmm (No. 123)
Symmetry-distinct sites (fractional):
K: 0.0000 0.0000 0.0000 x1
Ta: 0.5000 0.5000 0.5000 x1
Fe: 0.0000 0.5000 0.0000 x2
Pb: 0.0000 0.0000 0.5000 x1

Values from the calculation:
For the formation energy, the calculation gives 2.41 eV/atom. As for the density: 9.0 Mg/m³.

Entry 2:
A plane-wave DFT calculation with SCAN was carried out for MnSbRh2 at its PBEsol-relaxed geometry.

abc: 4.0772 4.0772 3.6028
angles: 90.00 90.00 90.00
Space group P4/mmm (No. 123)
Symmetry-distinct sites (fractional):
Mn: 0.0000 0.0000 0.0000 x1
Sb: 0.5000 0.5000 0.0000 x1
Rh: 0.0000 0.5000 0.5000 x2

Values from the calculation:
As for the density: 10.6 Mg/m³. The calculation puts the raw formation energy at -193 kJ/mol of formula units.

Entry 3:
A plane-wave DFT calculation with SCAN was carried out for RbNdS2 at its PBEsol-relaxed geometry.

abc: 4.1593 4.1593 22.7758
angles: 90.00 90.00 120.00
Space group R-3m (No. 166, hexagonal axes)
Symmetry-distinct sites (fractional):
Rb: 0.0000 0.0000 0.0000 x3
Nd: 0.0000 0.0000 0.5000 x3
S: 0.0000 0.0000 0.2331 x6

Values from the calculation:
As for the density: 4.3 Mg/m³. The calculation puts the raw formation energy at -815 kJ/mol of formula units.

| no. | calculated total energy (eV/atom) |
| --- | --- |
| 1 | -34.976 |
| 2 | -31.266 |
| 3 | -23.006 |